<1>
VASP calculation (PBE-GGA) on a geometry-optimized AcTb5Er2 structure.

```
8
Lattice="-1.7953 5.5929 6.6285 1.7953 -5.5929 6.6285 1.7953 5.5929 -6.6285" Properties=species:S:1:pos:R:3 pbc="T T T"
Ac 0.0000 0.0000 0.0000
Tb 1.7953 3.0561 -1.7835
Tb 1.7953 3.0561 1.7835
Tb 0.0000 5.5929 0.0000
Tb 0.0000 2.5368 4.8451
Tb 0.0000 2.5368 8.4120
Er 1.7953 0.0000 3.2702
Er 0.0000 5.5929 3.3583
```

- Magnetization: 0.000 μB/atom
- Crystal system: orthorhombic


<2>
VASP calculation (PBE-GGA) on a geometry-optimized AcTb5Er2 structure.

```
32
Lattice="7.2004 0.0000 0.0000 0.0000 14.3984 0.0000 0.0000 0.0000 10.1792" Properties=species:S:1:pos:R:3 pbc="T T T"
Ac 1.7913 1.7829 0.0000
Ac 1.8089 8.9821 0.0000
Ac 5.3916 5.4163 0.0000
Ac 5.4091 12.6154 0.0000
Tb 0.0000 7.1992 2.6419
Tb 0.0000 7.1992 7.5373
Tb 0.0100 10.8019 2.6284
Tb 0.0100 10.8019 7.5508
Tb 1.7894 5.3902 0.0000
Tb 1.7953 5.3997 5.0896
Tb 1.8108 12.5894 0.0000
Tb 1.8049 12.5989 5.0896
Tb 3.5902 3.6028 2.6284
Tb 3.5902 3.6028 7.5508
Tb 3.6002 0.0000 2.6419
Tb 3.6002 0.0000 7.5373
Tb 3.6102 10.7956 2.6284
Tb 3.6102 10.7956 7.5508
Tb 5.3955 1.7994 5.0896
Tb 5.3897 1.8090 0.0000
Tb 5.4051 8.9986 5.0896
Tb 5.4110 9.0081 0.0000
Tb 7.1904 3.5964 2.6284
Tb 7.1904 3.5964 7.5508
Er 0.0000 0.0000 2.6476
Er 0.0000 0.0000 7.5315
Er 1.7927 1.8020 5.0896
Er 1.8075 9.0011 5.0896
Er 3.6002 7.1992 2.6476
Er 3.6002 7.1992 7.5315
Er 5.3929 5.3972 5.0896
Er 5.4077 12.5964 5.0896
```

- Magnetization: 0.000 μB/atom
- Crystal system: orthorhombic


Which of them is most stable? Easy: <1>.


<1>
VASP calculation (PBE-GGA) on a geometry-optimized AcTb3Er3 structure.

```
28
Lattice="-6.2218 6.2218 6.2218 6.2218 -6.2218 6.2218 6.2218 6.2218 -6.2218" Properties=species:S:1:pos:R:3 pbc="T T T"
Ac 1.6326 1.6326 -1.6326
Ac 1.6326 -1.6326 1.6326
Ac -1.6326 1.6326 1.6326
Ac 4.5892 4.5892 4.5892
Tb 8.7717 1.2390 -1.2390
Tb 8.7717 -1.2390 1.2390
Tb 4.9828 4.9828 -2.5498
Tb 4.9828 -2.5498 4.9828
Tb 3.6720 1.2390 1.2390
Tb 1.2390 3.6720 1.2390
Tb 1.2390 1.2390 3.6720
Tb 1.2390 8.7717 -1.2390
Tb 1.2390 -1.2390 8.7717
Tb -2.5498 4.9828 4.9828
Tb -1.2390 8.7717 1.2390
Tb -1.2390 1.2390 8.7717
Er 5.4521 1.6488 -1.6488
Er 5.4521 -1.6488 1.6488
Er 6.9916 1.6488 1.6488
Er 1.6488 5.4521 -1.6488
Er 1.6488 -1.6488 5.4521
Er 4.5730 4.5730 0.7697
Er 4.5730 0.7697 4.5730
Er -1.6488 5.4521 1.6488
Er -1.6488 1.6488 5.4521
Er 1.6488 6.9916 1.6488
Er 1.6488 1.6488 6.9916
Er 0.7697 4.5730 4.5730
```

- Magnetization: 0.000 μB/atom
- Crystal system: cubic


<2>
VASP calculation (PBE-GGA) on a geometry-optimized AcTb3Er3 structure.

```
7
Lattice="4.9920 2.8821 2.7732 -4.9920 2.8821 2.7732 0.0000 -5.7642 2.7732" Properties=species:S:1:pos:R:3 pbc="T T T"
Ac 0.0000 0.0000 0.0000
Tb 0.0000 -2.0635 5.7743
Tb -1.7871 1.0318 5.7743
Tb 1.7871 1.0318 5.7743
Er 0.0000 -2.3693 2.2989
Er -2.0518 1.1846 2.2989
Er 2.0518 1.1846 2.2989
```

- Magnetization: 0.000 μB/atom
- Crystal system: trigonal


Which of them is most stable? Easy: <1>.


<1>
VASP calculation (PBE-GGA) on a geometry-optimized AcTb3Er6 structure.

```
10
Lattice="5.5872 0.0000 0.0000 -2.7735 8.0616 0.0000 -2.7889 -3.5391 7.6750" Properties=species:S:1:pos:R:3 pbc="T T T"
Ac 0.0000 0.0000 0.0000
Tb -2.7812 2.2613 3.8375
Tb -2.7738 5.1390 2.3243
Tb 2.7985 -0.6164 5.3506
Er 0.0175 3.3295 1.1178
Er 0.0072 0.2816 3.4908
Er 0.0023 -2.3780 5.7861
Er 0.0225 6.9005 1.8889
Er 0.0175 4.2410 4.1842
Er 0.0073 1.1930 6.5572
```

- Magnetization: 0.000 μB/atom
- Crystal system: triclinic


<2>
VASP calculation (PBE-GGA) on a geometry-optimized AcTb3Er6 structure.

```
20
Lattice="4.7505 -7.7605 0.0000 4.7505 7.7605 0.0000 0.0000 0.0000 8.9088" Properties=species:S:1:pos:R:3 pbc="T T T"
Ac 4.7505 4.3166 4.4544
Ac 4.7505 -4.3166 0.0000
Tb 1.6326 2.1908 5.1756
Tb 1.6326 -2.1908 0.7212
Tb 4.7505 0.7553 5.3400
Tb 4.7505 -0.7553 0.8856
Tb 7.8684 2.1908 5.1756
Tb 7.8684 -2.1908 0.7212
Er 4.7505 7.0081 6.5173
Er 3.0652 2.2676 2.1207
Er 2.4018 0.8722 8.1147
Er 4.7505 3.2704 7.8119
Er 2.4018 -0.8722 3.6603
Er 3.0652 -2.2676 6.5751
Er 6.4358 2.2676 2.1207
Er 7.0992 0.8722 8.1147
Er 4.7505 -3.2704 3.3575
Er 7.0992 -0.8722 3.6603
Er 6.4358 -2.2676 6.5751
Er 4.7505 -7.0081 2.0629
```

- Magnetization: 0.000 μB/atom
- Crystal system: orthorhombic


Which of them is most stable? Easy: <2>.


<1>
VASP calculation (PBE-GGA) on a geometry-optimized AcTb3Er7 structure.

```
11
Lattice="6.9771 0.0000 0.0000 0.0000 5.5534 0.0000 -3.1241 0.0000 9.3289" Properties=species:S:1:pos:R:3 pbc="T T T"
Ac 0.0000 0.0000 0.0000
Tb 0.3882 2.7767 4.5955
Tb 3.4886 0.0000 0.0000
Tb 3.4648 2.7767 4.7334
Er -1.5620 0.0000 4.6644
Er -1.4284 2.7767 7.3535
Er 1.8604 2.7767 1.3462
Er 2.0011 0.0000 3.1048
Er 1.8519 0.0000 6.2241
Er 1.9926 2.7767 7.9827
Er 5.2815 2.7767 1.9754
```

- Magnetization: 0.000 μB/atom
- Crystal system: monoclinic


<2>
VASP calculation (PBE-GGA) on a geometry-optimized AcTb3Er7 structure.

```
11
Lattice="-2.9643 5.5211 5.6144 2.9643 -5.5211 5.6144 2.9643 5.5211 -5.6144" Properties=species:S:1:pos:R:3 pbc="T T T"
Ac 0.0000 0.0000 0.0000
Tb 2.9643 3.1906 0.0000
Tb 0.0000 5.5211 0.0000
Tb 0.0000 2.3305 5.6144
Er 2.9643 0.0000 0.0000
Er 2.9643 -2.0940 3.2049
Er 0.0000 0.0000 3.4213
Er 2.9643 2.0940 3.2049
Er 0.0000 3.4272 2.4094
Er 0.0000 0.0000 7.8074
Er 0.0000 7.6151 2.4094
```

- Magnetization: 0.008 μB/atom
- Crystal system: orthorhombic


Which of them is most stable? Easy: <1>.